This record from Alexandria describes crystalline PrZr2Sc at its relaxed geometry. The functional is GGA-PBE.

- Size of the total moment: 0.00 μB per formula unit
- E above lowest polymorph: 0.000 eV per atom
- Uncorrected energy: -6.92 eV per atom
- D(E_F): 4.1 states/eV/f.u.
- ρ: 5.94 Mg/m³
- SG: P4/mmm (123)

The structure in POSCAR format:
```
PrZr2Sc
1.0
4.732 0.000 0.000
0.000 4.666 0.000
0.000 0.000 4.666
Pr Sc Zr
1 1 2
Direct
0.500 0.000 0.000 Pr
0.500 0.500 0.500 Sc
0.000 0.000 0.500 Zr
0.000 0.500 0.000 Zr
```